Record 1
## Tm2HfTe (GGA-PBE)

Data for Tm2HfTe after structural relaxation.

```
Tm2HfTe
1.0
3.6610 0.0000 0.0000
-1.8305 3.1705 0.0000
0.0000 0.0000 9.4557
Tm Hf Te
2 1 1
Direct
0.0000 0.0000 0.2338
0.0000 0.0000 0.7662
0.6667 0.3333 0.5000
0.6667 0.3333 0.0000
```

Values from the calculation:
ΔE_f (raw) = -368 meV per atom
Energy = -23.5 eV/cell
Polymorph energy (0 for the lowest one) = 5.4 kJ/mol of atoms
Fermi-level density of states = 0.89 states/eV/atom



Record 2
## TmHfTe4 (GGA-PBE)

Data for TmHfTe4 after structural relaxation.

```
TmHfTe4
1.0
6.8424 0.0000 0.0000
0.0000 4.0577 0.0000
-0.0978 0.0000 7.1534
Tm Hf Te
1 1 4
Direct
0.0000 0.0000 0.0000
0.0000 0.5000 0.5000
0.2569 0.0000 0.3475
0.2631 0.5000 0.8199
0.7369 0.5000 0.1801
0.7431 0.0000 0.6525
```

Values from the calculation:
ΔE_f (raw) = -917 meV per atom
Energy = -32.5 eV/cell
Fermi-level density of states = 0.51 states/eV/atom



Record 3
## Tm2HfTe (GGA-PBE)

Data for Tm2HfTe after structural relaxation.

```
Tm2HfTe
1.0
3.6176 0.0000 0.0000
-1.8088 3.1329 0.0000
0.0000 0.0000 31.1115
Tm Hf Te
6 3 3
Direct
0.0000 0.0000 0.0978
0.0000 0.0000 0.9022
0.3333 0.6667 0.5689
0.3333 0.6667 0.7645
0.6667 0.3333 0.2355
0.6667 0.3333 0.4311
0.0000 0.0000 0.0000
0.3333 0.6667 0.6667
0.6667 0.3333 0.3333
0.0000 0.0000 0.5000
0.3333 0.6667 0.1667
0.6667 0.3333 0.8333
```

Values from the calculation:
ΔE_f (raw) = 110 meV per atom
Energy = -64.8 eV/cell
Polymorph energy (0 for the lowest one) = 51.5 kJ/mol of atoms
Fermi-level density of states = 0.85 states/eV/atom



Record 4
## HfUTe4 (GGA-PBE)

Data for HfUTe4 after structural relaxation.

```
HfUTe4
1.0
8.4560 0.0000 0.0000
0.0000 6.6828 0.0000
-3.9914 0.0000 7.3447
Hf U Te
2 2 8
Direct
0.0000 0.0000 0.0000
0.0000 0.5000 0.5000
0.5000 0.0000 0.0000
0.5000 0.5000 0.5000
0.1591 0.2488 0.3358
0.1591 0.2512 0.8358
0.3062 0.7456 0.1492
0.3062 0.7544 0.6492
0.6938 0.2456 0.3508
0.6938 0.2544 0.8508
0.8409 0.7488 0.1642
0.8409 0.7512 0.6642
```

Values from the calculation:
ΔE_f (raw) = -562 meV per atom
Energy = -74.4 eV/cell
Polymorph energy (0 for the lowest one) = 12.8 kJ/mol of atoms
Fermi-level density of states = 1.33 states/eV/atom



Record 5
## HfUTe4 (GGA-PBE)

Data for HfUTe4 after structural relaxation.

```
HfUTe4
1.0
7.1138 0.0000 0.0000
0.0000 4.1348 0.0000
-0.0650 0.0000 7.2149
Hf U Te
1 1 4
Direct
0.0000 0.0000 0.0000
0.0000 0.5000 0.5000
0.2441 0.5000 0.8472
0.2519 0.0000 0.3184
0.7481 0.0000 0.6816
0.7559 0.5000 0.1528
```

Values from the calculation:
ΔE_f (raw) = -695 meV per atom
Energy = -38.0 eV/cell
Polymorph energy (0 for the lowest one) = 0.0 kJ/mol of atoms
Fermi-level density of states = 1.17 states/eV/atom



Record 6
## HfVTe3 (GGA-PBE)

Data for HfVTe3 after structural relaxation.

```
HfVTe3
1.0
5.1950 0.0000 0.0000
0.0000 5.1950 0.0000
0.0000 0.0000 5.1950
Hf V Te
1 1 3
Direct
0.0000 0.0000 0.0000
0.5000 0.5000 0.5000
0.0000 0.5000 0.5000
0.5000 0.0000 0.5000
0.5000 0.5000 0.0000
```

Values from the calculation:
ΔE_f (raw) = 455 meV per atom
Energy = -26.2 eV/cell
Polymorph energy (0 for the lowest one) = 74.0 kJ/mol of atoms
Fermi-level density of states = 1.41 states/eV/atom



Record 7
## HfVTe6 (GGA-PBE)

Data for HfVTe6 after structural relaxation.

```
HfVTe6
1.0
6.5744 0.0000 0.0000
3.1716 6.0695 0.0000
3.1435 0.8293 6.1655
Hf V Te
1 1 6
Direct
0.0000 0.0000 0.0000
0.5000 0.5000 0.5000
0.0395 0.7450 0.7319
0.3114 0.5963 0.1863
0.4043 0.1212 0.6749
0.5957 0.8788 0.3251
0.6886 0.4037 0.8137
0.9605 0.2550 0.2681
```

Values from the calculation:
ΔE_f (raw) = -253 meV per atom
Energy = -39.9 eV/cell
Fermi-level density of states = 0.62 states/eV/atom



Record 8
## HfV2Te2 (GGA-PBE)

Data for HfV2Te2 after structural relaxation.

```
HfV2Te2
1.0
7.4568 0.0000 0.0000
0.0000 7.4568 0.0000
0.0000 0.0000 3.4978
Hf V Te
2 4 4
Direct
0.0000 0.0000 0.0000
0.5000 0.5000 0.0000
0.1230 0.3770 0.0000
0.3770 0.8770 0.0000
0.6230 0.1230 0.0000
0.8770 0.6230 0.0000
0.1730 0.6730 0.5000
0.3270 0.1730 0.5000
0.6730 0.8270 0.5000
0.8270 0.3270 0.5000
```

Values from the calculation:
ΔE_f (raw) = 135 meV per atom
Energy = -67.6 eV/cell
Polymorph energy (0 for the lowest one) = 2.0 kJ/mol of atoms
Fermi-level density of states = 1.18 states/eV/atom



Question: Among the records above, which one has the highest energy?
Answer: number 1



Copy entry 5 word for word.
## HfUTe4 (GGA-PBE)

Data for HfUTe4 after structural relaxation.

```
HfUTe4
1.0
7.1138 0.0000 0.0000
0.0000 4.1348 0.0000
-0.0650 0.0000 7.2149
Hf U Te
1 1 4
Direct
0.0000 0.0000 0.0000
0.0000 0.5000 0.5000
0.2441 0.5000 0.8472
0.2519 0.0000 0.3184
0.7481 0.0000 0.6816
0.7559 0.5000 0.1528
```

Values from the calculation:
ΔE_f (raw) = -695 meV per atom
Energy = -38.0 eV/cell
Polymorph energy (0 for the lowest one) = 0.0 kJ/mol of atoms
Fermi-level density of states = 1.17 states/eV/atom



Question: What is the Fermi-level density of states in the second record?
Answer: 0.51 states/eV/atom



Question: What is the formula in the fourth record?
Answer: HfUTe4